# Mn4FeGe3 | Alexandria | GGA-PBE | optimized geometry
# theoretical density: 7586 kg/m3
# E_tot: -119.8 eV per cell
# energy of formation: -0.1109 eV/atom
# M_tot: 26.1 μB/cell
data_Mn4FeGe3
_chemical_formula_sum 'Mn8 Fe2 Ge6'
_cell_length_a 7.1253
_cell_length_b 7.1253
_cell_length_c 4.9140
_cell_angle_alpha 90.00
_cell_angle_beta 90.00
_cell_angle_gamma 120.00
_space_group_name_H-M_alt 'P -3 1 m'
_space_group_IT_number 162
_space_group_name_Hall '-P 3 2'
loop_
_atom_site_label
_atom_site_type_symbol
_atom_site_fract_x
_atom_site_fract_y
_atom_site_fract_z
_atom_site_occupancy
Mn1 Mn 0.0000 0.2416 0.2460 1
Mn2 Mn 0.3333 0.6667 0.0000 1
Fe1 Fe 0.3333 0.6667 0.5000 1
Ge1 Ge 0.0000 0.3944 0.7453 1



# Mn3Fe2Ge3 | Alexandria | GGA-PBE | optimized geometry
# theoretical density: 7722 kg/m3
# E_tot: -118.3 eV per cell
# energy of formation: -0.1054 eV/atom
# M_tot: 24.7 μB/cell
data_Mn3Fe2Ge3
_chemical_formula_sum 'Mn6 Fe4 Ge6'
_cell_length_a 7.1070
_cell_length_b 7.1070
_cell_length_c 4.8614
_cell_angle_alpha 90.00
_cell_angle_beta 90.00
_cell_angle_gamma 120.00
_space_group_name_H-M_alt 'P 63/m c m'
_space_group_IT_number 193
_space_group_name_Hall '-P 6c 2'
loop_
_atom_site_label
_atom_site_type_symbol
_atom_site_fract_x
_atom_site_fract_y
_atom_site_fract_z
_atom_site_occupancy
Mn1 Mn 0.0000 0.2385 0.2500 1
Fe1 Fe 0.3333 0.6667 0.0000 1
Ge1 Ge 0.0000 0.3952 0.7500 1